(1)
Material: ZnRh2F8
Method: DFT, PBE-GGA
State: optimized geometry

It has space group P-3 (No. 147), with a = 6.5662 Å, b = 6.5662 Å, c = 4.1509 Å, α = 90.00°, β = 90.00° and γ = 120.00°. The asymmetric unit holds Zn at (0.0000, 0.0000, 0.0000), Rh at (0.3333, 0.6667, 0.7607), F at (0.1545, 0.3124, 0.7510) and F at (0.3333, 0.6667, 0.2597).

The final energy comes out at -4.2038 eV per atom. As for the formation energy without anion corrections: -1390 meV/atom. As for the density: 4.53 Mg/m³.



(2)
Material: ZnRhF3
Method: DFT, PBE-GGA
State: optimized geometry

It has space group Pm-3m (No. 221), with a = 4.193 Å, b = 4.193 Å, c = 4.193 Å, α = 90.00°, β = 90.00° and γ = 90.00°. The asymmetric unit holds Zn at (0.000, 0.000, 0.000), Rh at (0.500, 0.500, 0.500) and F at (0.000, 0.500, 0.500).

The final energy comes out at -3.7552 eV per atom. The excess energy over the best structure of this formula in the dataset comes out at 219 meV per atom. As for the formation energy without anion corrections: -907 meV/atom. As for the density: 5.08 Mg/m³.



(3)
Material: Zn2RhF
Method: DFT, PBE-GGA
State: optimized geometry

It has space group I-42d (No. 122), with a = 6.289 Å, b = 6.289 Å, c = 5.788 Å, α = 90.00°, β = 90.00° and γ = 90.00°. The asymmetric unit holds Zn at (0.204, 0.250, 0.125), Rh at (0.000, 0.000, 0.500) and F at (0.000, 0.000, 0.000).

The final energy comes out at -3.4893 eV per atom. The excess energy over the best structure of this formula in the dataset comes out at 0 meV per atom. As for the formation energy without anion corrections: -547 meV/atom. As for the density: 7.33 Mg/m³.



(4)
Material: Zn2RhF
Method: DFT, PBE-GGA
State: optimized geometry

It has space group Fm-3m (No. 225), with a = 6.061 Å, b = 6.061 Å, c = 6.061 Å, α = 90.00°, β = 90.00° and γ = 90.00°. The asymmetric unit holds Zn at (0.250, 0.250, 0.250), Rh at (0.000, 0.000, 0.000) and F at (0.000, 0.000, 0.500).

The final energy comes out at -3.3086 eV per atom. The excess energy over the best structure of this formula in the dataset comes out at 181 meV per atom. As for the formation energy without anion corrections: -366 meV/atom. As for the density: 7.54 Mg/m³.



(5)
Material: ZnRh2F
Method: DFT, PBE-GGA
State: optimized geometry

It has space group I-42d (No. 122), with a = 6.737 Å, b = 6.737 Å, c = 5.071 Å, α = 90.00°, β = 90.00° and γ = 90.00°. The asymmetric unit holds Zn at (0.000, 0.000, 0.000), Rh at (0.211, 0.250, 0.625) and F at (0.000, 0.000, 0.500).

The final energy comes out at -4.4035 eV per atom. The excess energy over the best structure of this formula in the dataset comes out at 18 meV per atom. As for the formation energy without anion corrections: 59 meV/atom. As for the density: 8.38 Mg/m³.



(6)
Material: ZnRhF2
Method: DFT, PBE-GGA
State: optimized geometry

It has space group Fm-3m (No. 225), with a = 5.848 Å, b = 5.848 Å, c = 5.848 Å, α = 90.00°, β = 90.00° and γ = 90.00°. The asymmetric unit holds Zn at (0.000, 0.000, 0.000), Rh at (0.000, 0.000, 0.500) and F at (0.250, 0.250, 0.250).

The final energy comes out at -3.6818 eV per atom. The excess energy over the best structure of this formula in the dataset comes out at 35 meV per atom. As for the formation energy without anion corrections: -590 meV/atom. As for the density: 6.85 Mg/m³.



(7)
Material: ZnRhF3
Method: DFT, PBE-GGA
State: optimized geometry

It has space group Pm-3m (No. 221), with a = 4.066 Å, b = 4.066 Å, c = 4.066 Å, α = 90.00°, β = 90.00° and γ = 90.00°. The asymmetric unit holds Zn at (0.000, 0.000, 0.000), Rh at (0.500, 0.500, 0.500) and F at (0.000, 0.000, 0.500).

The final energy comes out at -3.9744 eV per atom. The excess energy over the best structure of this formula in the dataset comes out at 0 meV per atom. As for the formation energy without anion corrections: -1127 meV/atom. As for the density: 5.56 Mg/m³.



(8)
Material: ZrRhF2
Method: DFT, PBE-GGA
State: optimized geometry

It has space group Fm-3m (No. 225), with a = 5.953 Å, b = 5.953 Å, c = 5.953 Å, α = 90.00°, β = 90.00° and γ = 90.00°. The asymmetric unit holds Zr at (0.000, 0.000, 0.000), Rh at (0.000, 0.000, 0.500) and F at (0.250, 0.250, 0.250).

The final energy comes out at -5.9776 eV per atom. The excess energy over the best structure of this formula in the dataset comes out at 516 meV per atom. As for the formation energy without anion corrections: -1067 meV/atom. As for the density: 7.31 Mg/m³.



(9)
Material: Zr2RhF2
Method: DFT, PBE-GGA
State: optimized geometry

It has space group I4/mmm (No. 139), with a = 3.338 Å, b = 3.338 Å, c = 13.187 Å, α = 90.00°, β = 90.00° and γ = 90.00°. The asymmetric unit holds Zr at (0.000, 0.000, 0.125), Rh at (0.000, 0.000, 0.500) and F at (0.000, 0.500, 0.250).

The final energy comes out at -7.6356 eV per atom. As for the formation energy without anion corrections: -1998 meV/atom. As for the density: 7.31 Mg/m³.



(10)
Material: ZrRhF3
Method: DFT, PBE-GGA
State: optimized geometry

It has space group Pm-3m (No. 221), with a = 4.243 Å, b = 4.243 Å, c = 4.243 Å, α = 90.00°, β = 90.00° and γ = 90.00°. The asymmetric unit holds Zr at (0.000, 0.000, 0.000), Rh at (0.500, 0.500, 0.500) and F at (0.000, 0.000, 0.500).

The final energy comes out at -6.0197 eV per atom. The excess energy over the best structure of this formula in the dataset comes out at 0 meV per atom. As for the formation energy without anion corrections: -1717 meV/atom. As for the density: 5.46 Mg/m³.



(11)
Material: ZrRhF2
Method: DFT, PBE-GGA
State: optimized geometry

It has space group R-3m (No. 166, hexagonal axes), with a = 3.0158 Å, b = 3.0158 Å, c = 27.0292 Å, α = 90.00°, β = 90.00° and γ = 120.00°. The asymmetric unit holds Zr at (0.0000, 0.0000, 0.0000), Rh at (0.0000, 0.0000, 0.5000) and F at (0.0000, 0.0000, 0.0733).

The final energy comes out at -5.9928 eV per atom. The excess energy over the best structure of this formula in the dataset comes out at 501 meV per atom. As for the formation energy without anion corrections: -1082 meV/atom. As for the density: 5.43 Mg/m³.



(12)
Material: ZrRhF3
Method: DFT, PBE-GGA
State: optimized geometry

It has space group Pm-3m (No. 221), with a = 4.248 Å, b = 4.248 Å, c = 4.248 Å, α = 90.00°, β = 90.00° and γ = 90.00°. The asymmetric unit holds Zr at (0.000, 0.000, 0.000), Rh at (0.500, 0.500, 0.500) and F at (0.000, 0.500, 0.500).

The final energy comes out at -4.9950 eV per atom. The excess energy over the best structure of this formula in the dataset comes out at 1025 meV per atom. As for the formation energy without anion corrections: -692 meV/atom. As for the density: 5.44 Mg/m³.